DFT (PBE) results for a relaxed CdTc3 crystal.

For the magnetization, the calculation gives 0.0 μB per formula unit. Its energy relative to the elements is 0.47 eV/atom. The energy is -120.479 eV for the cell shown. The density of states at the Fermi level is 22.4 states/eV per cell.

a b c (Å): 5.6655 5.6655 9.0705
angles (deg): 90.00 90.00 120.00
With the nearest neighbours (Å) after each atom.
Space group P6_3/mmc (No. 194)
Asymmetric unit:
Cd 0.0000 0.0000 0.0000 (multiplicity 2)  12 Tc 2.83-2.87
Cd 0.3333 0.6667 0.2500 (multiplicity 2)  12 Tc 2.80-2.84
Tc 0.0000 0.5000 0.0000 (multiplicity 6)  8 Tc 2.76-2.83, 4 Cd 2.80-2.83
Tc 0.1791 0.3582 0.7500 (multiplicity 6)  6 Tc 2.62-2.76, 4 Cd 2.84-2.87